Run A
Li2InHAu: optimized geometry, PBE-GGA.

Calculated values
Volume = 14.351 Å³/atom
Total magnetic moment = 0.0 μB per formula unit

Cell lengths 4.3867, 4.3867, 3.7290 Å; angles 90.00, 90.00, 90.00 degrees
Space group P4/mmm (No. 123)
One atom of each set of equivalent atoms:
Li 0.0000 0.5000 0.0000
In 0.0000 0.0000 0.5000
H 0.5000 0.5000 0.0000
Au 0.5000 0.5000 0.5000

=====

Run B
Li2InHAu: optimized geometry, PBE-GGA.

Calculated values
Volume = 14.597 Å³/atom
Total magnetic moment = 0.0 μB per formula unit

Cell lengths 4.0352, 4.0352, 4.4823 Å; angles 90.00, 90.00, 90.00 degrees
Space group P4/mmm (No. 123)
One atom of each set of equivalent atoms:
Li 0.0000 0.5000 0.0000
In 0.0000 0.0000 0.5000
H 0.0000 0.0000 0.0000
Au 0.5000 0.5000 0.5000

=====

Which of them is the most stable? Correct choice: run A.

=====

Run A
InHPd2Au: optimized geometry, PBE-GGA.

Calculated values
Volume = 14.277 Å³/atom
Total magnetic moment = 0.0 μB per formula unit

Cell lengths 4.1314, 4.1314, 4.1823 Å; angles 90.00, 90.00, 90.00 degrees
Space group P4/mmm (No. 123)
One atom of each set of equivalent atoms:
In 0.0000 0.0000 0.0000
H 0.5000 0.5000 0.5000
Pd 0.0000 0.5000 0.5000
Au 0.5000 0.5000 0.0000

=====

Run B
InHPd2Au: optimized geometry, PBE-GGA.

Calculated values
Volume = 14.372 Å³/atom
Total magnetic moment = 0.0 μB per formula unit

Cell lengths 4.0375, 4.0375, 4.4082 Å; angles 90.00, 90.00, 90.00 degrees
Space group P4/mmm (No. 123)
One atom of each set of equivalent atoms:
In 0.0000 0.0000 0.0000
H 0.0000 0.0000 0.5000
Pd 0.0000 0.5000 0.5000
Au 0.5000 0.5000 0.0000

=====

Which of them is the most stable? Correct choice: run A.

=====

Run A
HIr3Au: optimized geometry, PBE-GGA.

Calculated values
Volume = 23.944 Å³/atom
Total magnetic moment = 4.2 μB per formula unit

Cell lengths 4.9286, 4.9286, 4.9286 Å; angles 90.00, 90.00, 90.00 degrees
Space group Pm-3m (No. 221)
One atom of each set of equivalent atoms:
H 0.0000 0.0000 0.0000
Ir 0.0000 0.5000 0.5000
Au 0.5000 0.5000 0.5000

=====

Run B
HIr3Au: optimized geometry, PBE-GGA.

Calculated values
Volume = 12.817 Å³/atom
Total magnetic moment = 0.0 μB per formula unit

Cell lengths 4.0018, 4.0018, 4.0018 Å; angles 90.00, 90.00, 90.00 degrees
Space group Pm-3m (No. 221)
One atom of each set of equivalent atoms:
H 0.0000 0.0000 0.0000
Ir 0.0000 0.0000 0.5000
Au 0.5000 0.5000 0.5000

=====

Which of them is the most stable? Correct choice: run B.